# 1
This record from Alexandria via LeMat-Bulk describes a relaxed NpInCl6 crystal. The functional is PBE-GGA.

Unit cell a=6.9962 b=6.9995 c=7.6207 alpha=90.05 beta=117.26 gamma=119.95
Positions (direct):
1 Np 0.0000 0.0000 0.0000
2 In 0.0000 0.5000 0.5000
3 Cl 0.1541 0.9443 0.7729
4 Cl 0.1709 0.7901 0.2267
5 Cl 0.4364 0.3802 0.2270
6 Cl 0.5636 0.6198 0.7730
7 Cl 0.8291 0.2099 0.7733
8 Cl 0.8459 0.0557 0.2271

## Properties
- Magnetization: 2.00 μB/cell
- Space-group type: No. 2
- Total DFT energy (no corrections): -37.41 eV/f.u.
- DOS at the Fermi energy: 0.9884 states/eV per atom


# 2
This record from Alexandria via LeMat-Bulk describes a relaxed AcNd2Bi crystal. The functional is PBE-GGA.

Unit cell a=11.6789 b=11.6789 c=11.6789 alpha=20.34 beta=20.34 gamma=20.34
Positions (direct):
1 Ac 0.0000 0.0000 0.0000
2 Nd 0.1070 0.1070 0.1070
3 Nd 0.8930 0.8930 0.8930
4 Bi 0.5000 0.5000 0.5000

## Properties
- Polymorph energy (0 for the lowest one): 362 meV/atom
- Magnetization: 1.08 μB/cell
- ΔH_f (0 K): -0.040 eV per atom
- Space-group type: No. 166
- Total DFT energy (no corrections): -17.69 eV/f.u.
- DOS at the Fermi energy: 1.3861 states/eV per atom


# 3
This record from Alexandria via LeMat-Bulk describes a relaxed ErIn2Ru crystal. The functional is PBE-GGA.

Unit cell a=4.8520 b=4.8520 c=4.8520 alpha=60.00 beta=60.00 gamma=60.00
Positions (direct):
1 Er 0.0000 0.0000 0.0000
2 In 0.2500 0.2500 0.2500
3 In 0.7500 0.7500 0.7500
4 Ru 0.5000 0.5000 0.5000

## Properties
- Magnetization: 0.00 μB/cell
- ΔH_f (0 K): -0.181 eV per atom
- Space-group type: No. 225
- Total DFT energy (no corrections): -20.04 eV/f.u.
- DOS at the Fermi energy: 0.7190 states/eV per atom


# 4
This record from Alexandria via LeMat-Bulk describes a relaxed ThCuPb crystal. The functional is PBE-GGA.

Unit cell a=9.9810 b=9.9810 c=9.9810 alpha=25.36 beta=25.36 gamma=25.36
Positions (direct):
1 Th 0.0582 0.0582 0.0582
2 Th 0.9418 0.9418 0.9418
3 Cu 0.3342 0.3342 0.3342
4 Cu 0.6658 0.6658 0.6658
5 Pb 0.1961 0.1961 0.1961
6 Pb 0.8039 0.8039 0.8039

## Properties
- Magnetization: 0.00 μB/cell
- ΔH_f (0 K): -0.091 eV per atom
- Space-group type: No. 166
- Total DFT energy (no corrections): -15.50 eV/f.u.
- DOS at the Fermi energy: 0.4940 states/eV per atom